# 1
Compound: AcSc4In3O12
Source: Alexandria
Functional: GGA-PBE
Structure: relaxed

As for the uncorrected formation energy: -2.72 eV/atom.

Lattice parameters (Å, degrees): 6.9333 6.9333 6.9333 109.47 109.47 109.47
Closest atoms and distances in Å follow each position.
Atoms (fractional coordinates):
O 0.8207 0.1225 0.3017  2 Sc 2.12, 1 In 2.14
O 0.1793 0.8775 0.6983  2 Sc 2.12, 1 In 2.14
O 0.5190 0.6983 0.8207  2 Sc 2.12, 1 In 2.14
O 0.8207 0.5190 0.6983  2 Sc 2.12, 1 In 2.14
O 0.8775 0.6983 0.1793  2 Sc 2.12, 1 In 2.14
O 0.3017 0.8207 0.1225  2 Sc 2.12, 1 In 2.14
O 0.1793 0.4810 0.3017  2 Sc 2.12, 1 In 2.14
O 0.3017 0.1793 0.4810  2 Sc 2.12, 1 In 2.14
O 0.1225 0.3017 0.8207  2 Sc 2.12, 1 In 2.14
O 0.4810 0.3017 0.1793  2 Sc 2.12, 1 In 2.14
O 0.6983 0.8207 0.5190  2 Sc 2.12, 1 In 2.14
O 0.6983 0.1793 0.8775  2 Sc 2.12, 1 In 2.14
Sc 0.0000 0.5000 0.0000  6 O 2.12
Sc 0.0000 0.0000 0.5000  6 O 2.12
Sc 0.5000 0.5000 0.5000  6 O 2.12
Sc 0.5000 0.0000 0.0000  6 O 2.12
In 0.0000 0.5000 0.5000  4 O 2.14
In 0.5000 0.0000 0.5000  4 O 2.14
In 0.5000 0.5000 0.0000  4 O 2.14
Ac 0.0000 0.0000 0.0000  12 O 2.81

# 2
Compound: ZrSbTeAs2
Source: Alexandria
Functional: GGA-PBE
Structure: relaxed

As for the uncorrected formation energy: 0.79 eV/atom.

Lattice parameters (Å, degrees): 5.2072 5.5444 5.2072 90.00 90.00 90.00
Closest atoms and distances in Å follow each position.
Atoms (fractional coordinates):
Zr 0.0000 0.5000 0.0000  2 Sb 2.77
As 0.0000 0.0000 0.5000  2 Sb 2.60
As 0.5000 0.0000 0.0000  2 Sb 2.60
Sb 0.0000 0.0000 0.0000  4 As 2.60, 2 Zr 2.77
Te 0.5000 0.5000 0.5000  4 Zr 3.68, 8 As 3.80

# 3
Compound: ZrSi
Source: Alexandria
Functional: GGA-PBE
Structure: relaxed

As for the uncorrected formation energy: -0.37 eV/atom.

Lattice parameters (Å, degrees): 7.5376 7.5376 5.4474 90.00 90.00 90.00
Closest atoms and distances in Å follow each position.
Atoms (fractional coordinates):
Zr 0.2988 0.0629 0.0000  5 Si 2.66-2.79
Zr 0.9371 0.2988 0.0000  5 Si 2.66-2.79
Zr 0.0629 0.7012 0.0000  5 Si 2.66-2.79
Zr 0.2012 0.4371 0.5000  5 Si 2.66-2.79
Zr 0.4371 0.7988 0.5000  5 Si 2.66-2.79
Zr 0.5629 0.2012 0.5000  5 Si 2.66-2.79
Zr 0.7988 0.5629 0.5000  5 Si 2.66-2.79
Zr 0.7012 0.9371 0.0000  5 Si 2.66-2.79
Si 0.2209 0.0774 0.5000  2 Si 2.50, 5 Zr 2.66-2.79
Si 0.9226 0.2209 0.5000  2 Si 2.50, 5 Zr 2.66-2.79
Si 0.4226 0.7209 0.0000  2 Si 2.50, 5 Zr 2.66-2.79
Si 0.7791 0.9226 0.5000  2 Si 2.50, 5 Zr 2.66-2.79
Si 0.0774 0.7791 0.5000  2 Si 2.50, 5 Zr 2.66-2.79
Si 0.2791 0.4226 0.0000  2 Si 2.50, 5 Zr 2.66-2.79
Si 0.5774 0.2791 0.0000  2 Si 2.50, 5 Zr 2.66-2.79
Si 0.7209 0.5774 0.0000  2 Si 2.50, 5 Zr 2.66-2.79

# 4
Compound: AcIn12Ir6
Source: Alexandria
Functional: GGA-PBE
Structure: relaxed

The value obtained for the formation energy is -0.15 eV/atom.

Lattice parameters (Å, degrees): 7.8644 7.8644 7.8644 105.43 105.43 105.43
Closest atoms and distances in Å follow each position.
Atoms (fractional coordinates):
Ac 0.0000 0.0000 0.0000  6 In 3.61
Ir 0.6909 0.2663 0.2663  7 In 2.71-2.78
Ir 0.3091 0.7337 0.7337  7 In 2.71-2.78
Ir 0.2663 0.6909 0.2663  7 In 2.71-2.78
Ir 0.7337 0.3091 0.7337  7 In 2.71-2.78
Ir 0.7337 0.7337 0.3091  7 In 2.71-2.78
Ir 0.2663 0.2663 0.6909  7 In 2.71-2.78
In 0.5000 0.1199 0.8801  4 Ir 2.74-2.76, 3 In 3.00-3.06
In 0.8801 0.1199 0.5000  4 Ir 2.74-2.76, 3 In 3.00-3.06
In 0.5000 0.8801 0.1199  4 Ir 2.74-2.76, 3 In 3.00-3.06
In 0.1199 0.8801 0.5000  4 Ir 2.74-2.76, 3 In 3.00-3.06
In 0.5829 0.5829 0.8484  3 Ir 2.71-2.78
In 0.8801 0.5000 0.1199  4 Ir 2.74-2.76, 3 In 3.00-3.06
In 0.4171 0.4171 0.1516  3 Ir 2.71-2.78
In 0.8484 0.5829 0.5829  3 Ir 2.71-2.78
In 0.1199 0.5000 0.8801  4 Ir 2.74-2.76, 3 In 3.00-3.06
In 0.5829 0.8484 0.5829  3 Ir 2.71-2.78
In 0.4171 0.1516 0.4171  3 Ir 2.71-2.78
In 0.1516 0.4171 0.4171  3 Ir 2.71-2.78

# 5
Compound: VReMoW2
Source: Alexandria
Functional: GGA-PBE
Structure: relaxed

The value obtained for the formation energy is 0.47 eV/atom.

Lattice parameters (Å, degrees): 4.1774 8.1536 5.2897 112.49 90.00 90.00
Closest atoms and distances in Å follow each position.
Atoms (fractional coordinates):
W 0.7500 0.5804 0.2056  1 Re 2.61, 3 Mo 2.63-2.70, 3 W 2.69-2.80
W 0.2500 0.4196 0.7944  1 Re 2.61, 3 Mo 2.63-2.70, 3 W 2.69-2.80
W 0.7500 0.3260 0.4133  2 Mo 2.60-2.84, 3 W 2.69-2.80
W 0.2500 0.6740 0.5867  2 Mo 2.60-2.84, 3 W 2.69-2.80
Re 0.2500 0.0867 0.4588  2 V 2.55-2.74, 1 Mo 2.60, 1 W 2.61, 2 Re 2.65
Re 0.7500 0.9133 0.5412  2 V 2.55-2.74, 1 Mo 2.60, 1 W 2.61, 2 Re 2.65
Mo 0.2500 0.7588 0.1126  2 V 2.58, 5 W 2.60-2.84, 1 Re 2.60
Mo 0.7500 0.2412 0.8874  2 V 2.58, 5 W 2.60-2.84, 1 Re 2.60
V 0.7500 0.9156 0.0237  2 Re 2.55-2.74, 2 V 2.57, 2 Mo 2.58
V 0.2500 0.0844 0.9763  2 Re 2.55-2.74, 2 V 2.57, 2 Mo 2.58

no.,DOS(E_F) (states/eV per cell)
1,0.00
2,7.42
3,8.89
4,9.59
5,9.56